The following is a DFT calculation (GGA+U) of VSF after structural relaxation.

a b c (Å): 5.4492 3.3959 3.3959
angles (deg): 120.00 90.00 90.00
Sites, in units of the cell vectors:
1 S 0.5593 0.3333 0.6667
2 F 0.1269 0.0000 0.0000
3 V 0.3138 0.6667 0.3333

Values from the calculation:
raw total energy = -17.8 eV per cell
total moment = 2.0 μB/f.u.
density of states at the Fermi level = 0.000 states/eV/cell